(1)
Al2Tl2Te5 | GGA-PBE | optimized geometry

Values from the calculation:
The value obtained for the density of states at the Fermi level is 3.58 states/eV/cell. As for the formation energy without anion corrections: -16.8 kJ per mole of atoms.

Cell lengths 5.3283, 7.2209, 9.7135 Å; angles 97.81, 90.00, 111.65 degrees
Positions (direct):
Al 0.8328 0.6656 0.1379
Al 0.1672 0.3344 0.8621
Tl 0.3938 0.7876 0.6113
Tl 0.6062 0.2124 0.3887
Te 0.3450 0.6900 0.0287
Te 0.0000 0.0000 0.0000
Te 0.6550 0.3100 0.9713
Te 0.8544 0.7088 0.4004
Te 0.1456 0.2912 0.5996



(2)
BaSrAc2 | GGA-PBE | optimized geometry

Values from the calculation:
The value obtained for the polymorph energy (0 for the lowest one) is 96.6 meV per atom. For the formation energy, the calculation gives 15.0 kJ/mol of atoms. The value obtained for the density of states at the Fermi level is 4.88 states/eV/cell.

Cell lengths 6.5760, 6.5760, 6.5760 Å; angles 60.00, 60.00, 60.00 degrees
Positions (direct):
Ac 0.7500 0.7500 0.7500
Ac 0.2500 0.2500 0.2500
Sr 0.5000 0.5000 0.5000
Ba 0.0000 0.0000 0.0000



(3)
Er5CuHg4 | GGA-PBE | optimized geometry

Values from the calculation:
For the formation energy, the calculation gives -41.4 kJ/mol of atoms. The value obtained for the density of states at the Fermi level is 7.24 states/eV/cell.

Cell lengths 3.6168, 3.6168, 18.5364 Å; angles 90.00, 90.00, 90.00 degrees
Positions (direct):
Hg 0.0000 0.0000 0.8071
Hg 0.0000 0.0000 0.6019
Hg 0.0000 0.0000 0.3981
Hg 0.0000 0.0000 0.1929
Er 0.5000 0.5000 0.7053
Er 0.5000 0.5000 0.0887
Er 0.5000 0.5000 0.5000
Er 0.5000 0.5000 0.2947
Er 0.5000 0.5000 0.9113
Cu 0.0000 0.0000 0.0000



(4)
CsSeCl6 | GGA-PBE | optimized geometry

Values from the calculation:
The value obtained for the density of states at the Fermi level is 7.47 states/eV/cell. As for the formation energy without anion corrections: -63.6 kJ per mole of atoms.

Cell lengths 7.1157, 7.1193, 7.1013 Å; angles 61.08, 61.13, 89.45 degrees
Positions (direct):
Cl 0.3206 0.3207 0.6747
Cl 0.8256 0.1554 0.7724
Cl 0.6794 0.6793 0.3253
Cl 0.8448 0.1742 0.2276
Cl 0.1552 0.8258 0.7724
Cl 0.1744 0.8446 0.2276
Se 0.0000 0.0000 0.0000
Cs 0.5000 0.5000 0.0000



(5)
LiAl2Zn2Ag2 | GGA-PBE | optimized geometry

Values from the calculation:
For the formation energy, the calculation gives -10.1 kJ/mol of atoms. The value obtained for the density of states at the Fermi level is 1.92 states/eV/cell.

Cell lengths 4.2236, 4.6413, 6.6284 Å; angles 104.73, 90.00, 117.06 degrees
Positions (direct):
Zn 0.8667 0.7334 0.5718
Zn 0.1333 0.2666 0.4282
Ag 0.3049 0.6099 0.8536
Ag 0.6951 0.3901 0.1464
Al 0.5900 0.1800 0.7170
Al 0.4100 0.8200 0.2830
Li 0.0000 0.0000 0.0000



(6)
Tm3HfP2Rh9 | GGA-PBE | optimized geometry

Values from the calculation:
For the formation energy, the calculation gives -60.1 kJ/mol of atoms. The value obtained for the density of states at the Fermi level is 7.41 states/eV/cell.

Cell lengths 5.9874, 5.9874, 9.1622 Å; angles 90.00, 90.00, 120.00 degrees
Positions (direct):
Tm 0.3333 0.6667 0.6971
Tm 0.6667 0.3333 0.3029
Tm 0.0000 0.0000 0.0000
Rh 0.0000 0.5000 0.0000
Rh 0.1536 0.3073 0.2799
Rh 0.8464 0.1536 0.7201
Rh 0.3073 0.1536 0.7201
Rh 0.5000 0.5000 0.0000
Rh 0.5000 0.0000 0.0000
Rh 0.8464 0.6927 0.7201
Rh 0.6927 0.8464 0.2799
Rh 0.1536 0.8464 0.2799
P 0.6667 0.3333 0.8423
P 0.3333 0.6667 0.1577
Hf 0.0000 0.0000 0.5000



(7)
Ac3Mg9Ir2 | GGA-PBE | optimized geometry

Values from the calculation:
For the formation energy, the calculation gives -17.9 kJ/mol of atoms. The value obtained for the density of states at the Fermi level is 7.72 states/eV/cell.

Cell lengths 4.9926, 8.8500, 8.8500 Å; angles 77.99, 73.62, 73.62 degrees
Positions (direct):
Mg 0.6360 0.7126 0.0154
Mg 0.1178 0.1670 0.5973
Mg 0.3640 0.2874 0.9846
Mg 0.1178 0.5973 0.1670
Mg 0.8822 0.8330 0.4027
Mg 0.0000 0.5000 0.5000
Mg 0.6360 0.0154 0.7126
Mg 0.3640 0.9846 0.2874
Mg 0.8822 0.4027 0.8330
Ac 0.3073 0.6927 0.6927
Ac 0.0000 0.0000 0.0000
Ac 0.6927 0.3073 0.3073
Ir 0.5000 0.3413 0.6587
Ir 0.5000 0.6587 0.3413



(8)
CsPbN3 | GGA-PBE | optimized geometry

Values from the calculation:
The value obtained for the density of states at the Fermi level is 3.50 states/eV/cell. As for the formation energy without anion corrections: 164.7 kJ per mole of atoms.

Cell lengths 4.6462, 4.6462, 4.6462 Å; angles 90.00, 90.00, 90.00 degrees
Site moments in Bohr magnetons follow the coordinates.
Positions (direct):
N 0.0000 0.0000 0.5000  0.86
N 0.0000 0.5000 0.0000  0.95
N 0.5000 0.0000 0.0000  1.02
Pb 0.0000 0.0000 0.0000  -0.08
Cs 0.5000 0.5000 0.5000  0.04



(9)
Zr6GaBi3 | GGA-PBE | optimized geometry

Values from the calculation:
For the formation energy, the calculation gives -9.7 kJ/mol of atoms. The value obtained for the density of states at the Fermi level is 12.84 states/eV/cell.

Cell lengths 7.0233, 8.8450, 8.8450 Å; angles 108.95, 90.00, 90.00 degrees
Positions (direct):
Zr 0.6593 0.6059 0.7434
Zr 0.6593 0.2566 0.3941
Zr 0.7211 0.5895 0.0832
Zr 0.1593 0.7434 0.6059
Zr 0.7530 0.9761 0.0239
Zr 0.7211 0.9168 0.4105
Zr 0.2211 0.4105 0.9168
Zr 0.2211 0.0832 0.5895
Zr 0.1593 0.3941 0.2566
Zr 0.6277 0.2548 0.7452
Zr 0.1277 0.7452 0.2548
Zr 0.2530 0.0239 0.9761
Ga 0.9686 0.1508 0.8492
Ga 0.4686 0.8492 0.1508
Bi 0.5292 0.9090 0.7091
Bi 0.3169 0.4168 0.5832
Bi 0.8169 0.5832 0.4168
Bi 0.0292 0.0910 0.2909
Bi 0.5292 0.2909 0.0910
Bi 0.0292 0.7091 0.9090



(10)
La4PmY5 | GGA-PBE | optimized geometry

Values from the calculation:
The value obtained for the polymorph energy (0 for the lowest one) is 18.8 meV per atom. For the formation energy, the calculation gives 18.5 kJ/mol of atoms. The value obtained for the density of states at the Fermi level is 16.20 states/eV/cell.

Cell lengths 3.5692, 11.4653, 8.8984 Å; angles 90.17, 101.54, 90.01 degrees
Positions (direct):
Y 0.8272 0.0559 0.6512
Y 0.1728 0.9441 0.3488
Y 0.8281 0.4473 0.6533
Y 0.5000 0.5000 0.0000
Y 0.1719 0.5527 0.3467
Pm 0.5000 0.0000 0.0000
La 0.3465 0.7505 0.6832
La 0.9664 0.2505 0.9369
La 0.6535 0.2495 0.3168
La 0.0336 0.7495 0.0631



(11)
CdGe3Br | GGA-PBE | optimized geometry

Values from the calculation:
The value obtained for the polymorph energy (0 for the lowest one) is 114.4 meV per atom. The value obtained for the density of states at the Fermi level is 3.90 states/eV/cell. As for the formation energy without anion corrections: 85.2 kJ per mole of atoms.

Cell lengths 5.2016, 5.2016, 5.2016 Å; angles 90.00, 90.00, 90.00 degrees
Positions (direct):
Ge 0.0000 0.5000 0.0000
Ge 0.5000 0.0000 0.0000
Ge 0.0000 0.0000 0.5000
Br 0.0000 0.0000 0.0000
Cd 0.5000 0.5000 0.5000



(12)
Ac2Tb8Pm3 | GGA-PBE | optimized geometry

Values from the calculation:
For the formation energy, the calculation gives 26.1 kJ/mol of atoms. The value obtained for the density of states at the Fermi level is 21.54 states/eV/cell.

Cell lengths 6.6429, 6.6429, 12.9012 Å; angles 75.08, 75.08, 60.00 degrees
Positions (direct):
Ac 0.3612 0.3612 0.9165
Ac 0.6388 0.6388 0.0835
Tb 0.7203 0.2214 0.3381
Tb 0.7203 0.7203 0.3381
Tb 0.2797 0.2797 0.6619
Tb 0.2214 0.7203 0.3381
Tb 0.2797 0.7786 0.6619
Tb 0.7786 0.2797 0.6619
Tb 0.7286 0.7286 0.8141
Tb 0.2714 0.2714 0.1859
Pm 0.8127 0.8127 0.5620
Pm 0.1873 0.1873 0.4380
Pm 0.0000 0.0000 0.0000



(13)
BaTl4Cd | GGA-PBE | optimized geometry

Values from the calculation:
The value obtained for the polymorph energy (0 for the lowest one) is 0.0 meV per atom. For the formation energy, the calculation gives -21.1 kJ/mol of atoms. The value obtained for the density of states at the Fermi level is 3.52 states/eV/cell.

Cell lengths 5.0065, 8.0087, 9.8490 Å; angles 90.00, 104.72, 90.00 degrees
Positions (direct):
Tl 0.0615 0.7500 0.1229
Tl 0.3254 0.0489 0.6509
Tl 0.3254 0.4511 0.6509
Tl 0.5000 0.0000 0.0000
Tl 0.6746 0.5489 0.3491
Tl 0.9385 0.2500 0.8771
Tl 0.6746 0.9511 0.3491
Tl 0.5000 0.5000 0.0000
Cd 0.7775 0.2500 0.5551
Cd 0.2225 0.7500 0.4449
Ba 0.1250 0.2500 0.2499
Ba 0.8750 0.7500 0.7501



(14)
LaPm3SmY | GGA-PBE | optimized geometry

Values from the calculation:
For the formation energy, the calculation gives 1.9 kJ/mol of atoms. The value obtained for the density of states at the Fermi level is 18.82 states/eV/cell.

Cell lengths 5.1811, 8.1486, 10.9392 Å; angles 116.50, 90.00, 90.00 degrees
Positions (direct):
Pm 0.2500 0.6234 0.7922
Pm 0.7500 0.3746 0.5432
Pm 0.2500 0.6254 0.4568
Pm 0.7500 0.8723 0.0410
Pm 0.2500 0.1277 0.9590
Pm 0.7500 0.3766 0.2078
Sm 0.7500 0.8738 0.3737
Sm 0.2500 0.1262 0.6263
La 0.2500 0.1250 0.2913
La 0.7500 0.8750 0.7087
Y 0.2500 0.6216 0.1240
Y 0.7500 0.3784 0.8760



(15)
YZn3W | GGA-PBE | optimized geometry

Values from the calculation:
The value obtained for the polymorph energy (0 for the lowest one) is 0.0 meV per atom. For the formation energy, the calculation gives 54.1 kJ/mol of atoms. The value obtained for the density of states at the Fermi level is 6.42 states/eV/cell.

Cell lengths 4.8297, 4.8297, 4.8297 Å; angles 90.00, 90.00, 90.00 degrees
Positions (direct):
Zn 0.0000 0.0000 0.5000
Zn 0.0000 0.5000 0.0000
Zn 0.5000 0.0000 0.0000
W 0.0000 0.0000 0.0000
Y 0.5000 0.5000 0.5000



(16)
Tl2GeH2 | GGA-PBE | optimized geometry

Values from the calculation:
The value obtained for the polymorph energy (0 for the lowest one) is 120.7 meV per atom. The value obtained for the density of states at the Fermi level is 3.17 states/eV/cell.

Cell lengths 7.6413, 7.6413, 3.1261 Å; angles 90.00, 90.00, 90.00 degrees
Positions (direct):
Tl 0.3470 0.8470 0.0000
Tl 0.8470 0.6530 0.0000
Tl 0.1530 0.3470 0.0000
Tl 0.6530 0.1530 0.0000
H 0.6129 0.8871 0.5000
H 0.3871 0.1129 0.5000
H 0.8871 0.3871 0.5000
H 0.1129 0.6129 0.5000
Ge 0.0000 0.0000 0.0000
Ge 0.5000 0.5000 0.0000



(17)
TlVGaSi2 | GGA-PBE | optimized geometry

Values from the calculation:
The value obtained for the density of states at the Fermi level is 6.17 states/eV/cell. As for the formation energy without anion corrections: 163.6 kJ per mole of atoms.

Cell lengths 5.1126, 5.1979, 5.1126 Å; angles 90.00, 90.00, 90.00 degrees
Site moments in Bohr magnetons follow the coordinates.
Positions (direct):
Ga 0.5000 0.5000 0.5000  0.01
Tl 0.0000 0.0000 0.0000  -0.01
V 0.0000 0.5000 0.0000  0.22
Si 0.5000 0.0000 0.0000  -0.01
Si 0.0000 0.0000 0.5000  0.00



(18)
LiSc2As | GGA-PBE | optimized geometry

Values from the calculation:
For the formation energy, the calculation gives -9.6 kJ/mol of atoms. The value obtained for the density of states at the Fermi level is 5.71 states/eV/cell.

Cell lengths 4.7716, 4.7716, 4.7716 Å; angles 60.00, 60.00, 60.00 degrees
Site moments in Bohr magnetons follow the coordinates.
Positions (direct):
As 0.5000 0.5000 0.5000  -0.02
Sc 0.2500 0.2500 0.2500  0.66
Sc 0.0000 0.0000 0.0000  0.90
Li 0.7500 0.7500 0.7500  0.05



(19)
B12Pb6O25 | GGA-PBE | optimized geometry

Values from the calculation:
As for the formation energy without anion corrections: -192.4 kJ per mole of atoms.

Cell lengths 8.9307, 8.9307, 8.9307 Å; angles 81.66, 81.66, 81.66 degrees
Site moments in Bohr magnetons follow the coordinates.
Positions (direct):
Pb 0.5823 0.2045 0.2045  0.00
Pb 0.7955 0.4177 0.7955  0.00
Pb 0.4177 0.7955 0.7955  0.00
Pb 0.2045 0.5823 0.2045  0.00
Pb 0.7955 0.7955 0.4177  0.00
Pb 0.2045 0.2045 0.5823  0.00
B 0.6068 0.0353 0.6068  0.00
B 0.3932 0.9647 0.3932  0.00
B 0.6068 0.6068 0.0353  0.00
B 0.9647 0.3932 0.3932  0.00
B 0.3932 0.3932 0.9647  0.00
B 0.2707 0.5000 0.7293  0.00
B 0.5000 0.2707 0.7293  0.00
B 0.7293 0.5000 0.2707  0.00
B 0.7293 0.2707 0.5000  0.00
B 0.0353 0.6068 0.6068  0.00
B 0.2707 0.7293 0.5000  0.00
B 0.5000 0.7293 0.2707  0.00
O 0.5007 0.1082 0.7103  0.00
O 0.4993 0.2897 0.8918  0.00
O 0.6799 0.3544 0.3544  0.05
O 0.1082 0.7103 0.5007  0.00
O 0.7103 0.1082 0.5007  0.00
O 0.3544 0.3544 0.6799  0.05
O 0.1082 0.5007 0.7103  0.00
O 0.2897 0.8918 0.4993  0.00
O 0.3544 0.6799 0.3544  0.05
O 0.6084 0.6084 0.8802  0.00
O 0.1198 0.3916 0.3916  0.00
O 0.3916 0.3916 0.1198  0.00
O 0.8918 0.2897 0.4993  0.00
O 0.8802 0.6084 0.6084  0.00
O 0.8918 0.4993 0.2897  0.00
O 0.3916 0.1198 0.3916  0.00
O 0.5007 0.7103 0.1082  0.00
O 0.6084 0.8802 0.6084  0.00
O 0.5000 0.5000 0.5000  1.38
O 0.6456 0.6456 0.3201  0.05
O 0.3201 0.6456 0.6456  0.05
O 0.2897 0.4993 0.8918  0.00
O 0.6456 0.3201 0.6456  0.05
O 0.4993 0.8918 0.2897  0.00
O 0.7103 0.5007 0.1082  0.00